Compound: LiTaN
Source: Alexandria via LeMat-Bulk
Functional: GGA-PBE
Structure: relaxed

Unit cell a=4.8377 b=3.0249 c=5.0431 alpha=90.00 beta=91.95 gamma=90.00
Closest atoms and distances in Å follow each position.
Fractional coordinates of all 6 atoms:
Li  0.7418  0.0000  0.3458  3 N 2.08-2.18
Li  0.2582  0.0000  0.6542  3 N 2.08-2.18
Ta  0.2715  0.5000  0.1614  3 N 2.00-2.15
Ta  0.7285  0.5000  0.8386  3 N 2.00-2.15
N  0.0000  0.0000  0.0000  4 Ta 2.15, 2 Li 2.18
N  0.5000  0.5000  0.5000  2 Ta 2.00, 4 Li 2.08

For the uncorrected formation energy, the calculation gives -0.6072 eV/atom. Its total magnetic moment is 0.00 μB/f.u. The value obtained for the volume is 12.29 Å³/atom. The calculated density is 9.09 Mg/m³. The calculation puts the energy above the lowest structure with this stoichiometry at 0.0795 eV per atom. As for the space group: P2/m. The total energy comes out at -47.83 eV per cell.